Entry 1:
SrZn2Ni | PBEsol | optimized geometry

Cell: 5.8643 5.8643 5.8643 Å, 41.74 41.74 41.74°
Last column: nearest neighbours and their distance in Å.
Positions (direct):
Sr (0.0000, 0.0000, 0.0000)  8 Zn 3.11-3.29
Zn (0.1940, 0.1940, 0.1940)  3 Ni 2.45, 3 Zn 2.57
Zn (0.8060, 0.8060, 0.8060)  3 Ni 2.45, 3 Zn 2.57
Ni (0.5000, 0.5000, 0.5000)  6 Zn 2.45

SG: No. 166
DOS(E_F), states/eV/f.u.: 2.1
M_tot, μB/atom: 0.00
Theoretical density, g cm⁻³: 5.69
Calculated formation energy, eV per atom: -0.201

=====

Entry 2:
MgAsF2 | PBEsol | optimized geometry

Cell: 4.2830 4.2830 4.2830 Å, 60.00 60.00 60.00°
Last column: nearest neighbours and their distance in Å.
Positions (direct):
Mg (0.0000, 0.0000, 0.0000)  8 F 2.62
As (0.5000, 0.5000, 0.5000)  8 F 2.62
F (0.2500, 0.2500, 0.2500)  4 As 2.62, 4 Mg 2.62
F (0.7500, 0.7500, 0.7500)  4 As 2.62, 4 Mg 2.62

SG: No. 225
DOS(E_F), states/eV/f.u.: 3.1
M_tot, μB/atom: 0.18
Theoretical density, g cm⁻³: 4.10
Energy relative to the elements, uncorrected, eV/atom: -1.04

=====

Entry 3:
Ti2N | PBEsol | optimized geometry

Cell: 4.9061 4.9061 3.0074 Å, 90.00 90.00 90.00°
Last column: nearest neighbours and their distance in Å.
Positions (direct):
Ti (0.2030, 0.2030, 0.0000)  3 N 2.06
Ti (0.2970, 0.7030, 0.5000)  3 N 2.06
Ti (0.7030, 0.2970, 0.5000)  3 N 2.06
Ti (0.7970, 0.7970, 0.0000)  3 N 2.06
N (0.0000, 0.0000, 0.5000)  6 Ti 2.06
N (0.5000, 0.5000, 0.0000)  6 Ti 2.06

SG: No. 136
DOS(E_F), states/eV/f.u.: 1.4
M_tot, μB/atom: 0.00
Theoretical density, g cm⁻³: 5.03
Energy relative to the elements, uncorrected, eV/atom: -1.47

=====

Entry 4:
LuCuPbS3 | PBEsol | optimized geometry

Cell: 6.6816 6.6816 9.8678 Å, 90.00 90.00 146.81°
Last column: nearest neighbours and their distance in Å.
Positions (direct):
Lu (0.0000, 0.0000, 0.0000)  6 S 2.64-2.67
Lu (0.0000, 0.0000, 0.5000)  6 S 2.64-2.67
Cu (0.4683, 0.5317, 0.7500)  4 S 2.30-2.34
Cu (0.5317, 0.4683, 0.2500)  4 S 2.30-2.34
Pb (0.2470, 0.7530, 0.2500)  6 S 2.98-3.01
Pb (0.7530, 0.2470, 0.7500)  6 S 2.98-3.01
S (0.0744, 0.9256, 0.7500)  2 Cu 2.34
S (0.3627, 0.6373, 0.5619)  1 Cu 2.30
S (0.3627, 0.6373, 0.9381)  1 Cu 2.30
S (0.6373, 0.3627, 0.0619)  1 Cu 2.30
S (0.6373, 0.3627, 0.4381)  1 Cu 2.30
S (0.9256, 0.0744, 0.2500)  2 Cu 2.34

SG: No. 63
M_tot, μB/atom: 0.00
Theoretical density, g cm⁻³: 7.46
Energy relative to the elements, uncorrected, eV/atom: -1.14

=====

Entry 5:
NdB2Ir3 | PBEsol | optimized geometry

Cell: 5.5047 5.5047 3.0891 Å, 90.00 90.00 120.00°
Last column: nearest neighbours and their distance in Å.
Positions (direct):
Nd (0.0000, 0.0000, 0.0000)  2 Nd 3.09, 12 Ir 3.16, 6 B 3.18
B (0.3333, 0.6667, 0.0000)  6 Ir 2.22
B (0.6667, 0.3333, 0.0000)  6 Ir 2.22
Ir (0.0000, 0.5000, 0.5000)  4 B 2.22
Ir (0.5000, 0.0000, 0.5000)  4 B 2.22
Ir (0.5000, 0.5000, 0.5000)  4 B 2.22

SG: No. 191
DOS(E_F), states/eV/f.u.: 2.4
M_tot, μB/atom: 0.00
Theoretical density, g cm⁻³: 15.21
Calculated formation energy, eV per atom: -0.656

=====

Entry 6:
BeSi2Hg | PBEsol | optimized geometry

Cell: 2.5804 3.3695 7.6413 Å, 90.00 90.00 90.00°
Last column: nearest neighbours and their distance in Å.
Positions (direct):
Be (0.0000, 0.0000, 0.0000)  8 Si 2.47, 2 Be 2.58
Si (0.5000, 0.5000, 0.1653)  4 Be 2.47, 3 Si 2.53-2.58
Si (0.5000, 0.5000, 0.8347)  4 Be 2.47, 3 Si 2.53-2.58
Hg (0.0000, 0.0000, 0.5000)  2 Hg 2.58

SG: No. 47
DOS(E_F), states/eV/f.u.: 1.3
M_tot, μB/atom: 0.00
Theoretical density, g cm⁻³: 6.64
Energy relative to the elements, uncorrected, eV/atom: 0.41